No. 1
Computed, not measured: a relaxed TcSb3 crystal at the GGA-PBE level of DFT.

Unit cell a=5.103 b=5.103 c=3.484 alpha=90.00 beta=90.00 gamma=90.00
Each line ends with the local moment (μB).
Atoms (fractional coordinates):
Sb 0.000 0.000 0.000  0.00
Sb 0.500 0.500 0.000  0.00
Sb 0.500 0.000 0.500  -0.01
Tc 0.000 0.500 0.500  1.34

Calculated values
Distance to the lowest polymorph of the same formula   0.606 eV per atom
Calculated volume   22.7 A^3/atom
E   -5.043 eV/atom
Density of states at the Fermi level   4.03 states/eV/cell
M_tot   1.48 μB per cell
Formation energy without anion corrections   0.64 eV per atom



No. 2
Computed, not measured: a relaxed TcSb2 crystal at the GGA-PBE level of DFT.

Unit cell a=4.578 b=4.578 c=4.578 alpha=60.00 beta=60.00 gamma=60.00
Atoms (fractional coordinates):
Sb 0.750 0.750 0.750
Sb 0.250 0.250 0.250
Tc 0.000 0.000 0.000

Calculated values
Distance to the lowest polymorph of the same formula   0.181 eV per atom
Calculated volume   22.6 A^3/atom
E   -6.041 eV/atom
Density of states at the Fermi level   3.24 states/eV/cell
M_tot   0.00 μB per cell
Formation energy without anion corrections   0.16 eV per atom



No. 3
Computed, not measured: a relaxed TcSb4 crystal at the GGA-PBE level of DFT.

Unit cell a=9.781 b=9.781 c=9.781 alpha=156.95 beta=156.95 gamma=32.82
Each line ends with the local moment (μB).
Atoms (fractional coordinates):
Sb 0.750 0.250 0.500  -0.01
Sb 0.250 0.750 0.500  -0.01
Sb 0.576 0.576 0.000  -0.03
Sb 0.424 0.424 0.000  -0.03
Tc 0.000 0.000 0.000  1.89

Calculated values
Distance to the lowest polymorph of the same formula   0.606 eV per atom
Calculated volume   28.7 A^3/atom
E   -4.666 eV/atom
Density of states at the Fermi level   3.89 states/eV/cell
M_tot   1.99 μB per cell
Formation energy without anion corrections   0.70 eV per atom



No. 4
Computed, not measured: a relaxed TcSb2 crystal at the GGA-PBE level of DFT.

Unit cell a=7.054 b=7.054 c=5.226 alpha=90.00 beta=90.00 gamma=151.27
Atoms (fractional coordinates):
Sb 0.233 0.767 0.250
Sb 0.553 0.447 0.250
Sb 0.767 0.233 0.750
Sb 0.447 0.553 0.750
Tc 0.885 0.115 0.250
Tc 0.115 0.885 0.750

Calculated values
Distance to the lowest polymorph of the same formula   0.413 eV per atom
Calculated volume   20.8 A^3/atom
E   -5.809 eV/atom
Density of states at the Fermi level   4.46 states/eV/cell
M_tot   0.00 μB per cell
Formation energy without anion corrections   0.40 eV per atom